Here is a relaxed Cd3W5 crystal from the Alexandria database. Energies are from PBE-GGA.

Unit cell a=8.3931 b=8.3931 c=4.8612 alpha=90.00 beta=90.00 gamma=120.00
Last column: nearest neighbours and their distance in Å.
Space group P6_3/mcm (No. 193)
One atom of each set of equivalent atoms:
Cd 0.0000 0.4038 0.2500 x6  8 W 2.83-3.06, 2 Cd 2.92
W 0.0000 0.1831 0.7500 x6  6 W 2.66-2.88, 2 Cd 2.94
W 0.3333 0.6667 0.0000 x4  2 W 2.43

calculated total energy = -7.52 eV per atom
D(E_F) = 0.58 states/eV per atom
energy above the lowest structure with this stoichiometry = 304.2 meV/atom
spin magnetization = 0.000 μB/atom
ΔH_f (0 K) = 0.9198 eV/atom